1.
Crystalline CoPt2Se at its relaxed geometry. Source: the Alexandria database, functional PBE.

As for the energy relative to the elements, uncorrected: 0.15 eV/atom. The space-group type is C2/m (12). As for the density of states at the Fermi level: 0.9766 states/eV per atom. For the raw total energy, the calculation gives -22.07 eV/cell. Its mass density is 13.80 g/cm3.

Cell: 5.8195 5.8195 4.0540 Å, 84.07 84.07 27.74°
Fractional positions:
Pt 0.0567 0.0567 0.9830
Pt 0.4433 0.4433 0.5170
Co 0.7500 0.7500 0.7500
Se 0.2500 0.2500 0.2500

***

2.
Crystalline BeTlPt2 at its relaxed geometry. Source: the Alexandria database, functional PBE.

The energy above the lowest structure with this stoichiometry comes out at 338 meV per atom. The space-group type is Fm-3m (225). As for the density of states at the Fermi level: 0.4365 states/eV per atom. For the raw total energy, the calculation gives -18.00 eV/cell. The calculation puts the energy of formation from the pure elements at 0.04 eV per atom. Its mass density is 15.60 g/cm3.

Cell: 4.4956 4.4956 4.4956 Å, 60.00 60.00 60.00°
Fractional positions:
Pt 0.7500 0.7500 0.7500
Pt 0.2500 0.2500 0.2500
Be 0.0000 0.0000 0.0000
Tl 0.5000 0.5000 0.5000

***

3.
Crystalline CdIr3 at its relaxed geometry. Source: the Alexandria database, functional PBE.

The space-group type is Cmmm (65). As for the density of states at the Fermi level: 1.1312 states/eV per atom. For the raw total energy, the calculation gives -26.15 eV/cell. The calculation puts the energy of formation from the pure elements at 0.34 eV per atom. Its mass density is 17.93 g/cm3.

Cell: 2.7823 2.7823 9.5814 Å, 90.00 90.00 120.62°
Fractional positions:
Ir 0.5000 0.5000 0.2613
Ir 0.0000 0.0000 0.5000
Ir 0.5000 0.5000 0.7387
Cd 0.0000 0.0000 0.0000

***

4.
Crystalline Pm2TmScBi4 at its relaxed geometry. Source: the Alexandria database, functional PBE.

The space-group type is P2/m (10). As for the density of states at the Fermi level: 0.1713 states/eV per atom. For the raw total energy, the calculation gives -42.39 eV/cell. The calculation puts the energy of formation from the pure elements at -0.82 eV per atom. Its mass density is 8.81 g/cm3.

Cell: 4.4754 7.7474 7.7241 Å, 109.53 90.00 90.00°
Fractional positions:
Bi 0.5000 0.7497 0.7640
Bi 0.5000 0.2503 0.2360
Bi 0.0000 0.2606 0.7675
Bi 0.0000 0.7394 0.2325
Sc 0.5000 0.5000 0.0000
Pm 0.0000 0.5000 0.5000
Pm 0.5000 0.0000 0.5000
Tm 0.0000 0.0000 0.0000